Record 1
VASP calculation (PBE-GGA) on crystalline TlPRh2 at its relaxed geometry.

Results
**Magnetization**: 0.00 μB per formula unit
**Space-group type**: P4/mmm (123)
**DFT formation energy**: -0.14 eV per atom

Structure (CIF):
```
data_TlPRh2
_chemical_formula_sum 'Tl1 P1 Rh2'
_symmetry_space_group_name_H-M 'P 1'
_symmetry_Int_Tables_number 1
_symmetry_space_group_name_Hall 'P 1'
_cell_length_a 2.976
_cell_length_b 2.976
_cell_length_c 7.189
_cell_angle_alpha 90.00
_cell_angle_beta 90.00
_cell_angle_gamma 90.00
loop_
_atom_site_label
_atom_site_fract_x
_atom_site_fract_y
_atom_site_fract_z
_atom_site_occupancy
Tl1 0.000 0.000 0.000 1
P1 0.000 0.000 0.500 1
Rh1 0.500 0.500 0.307 1
Rh2 0.500 0.500 0.693 1
```

Record 2
VASP calculation (PBE-GGA) on crystalline AgHg2P at its relaxed geometry.

Results
**Magnetization**: 0.00 μB per formula unit
**Space-group type**: I4/mmm (139)
**DFT formation energy**: 0.40 eV per atom

Structure (CIF):
```
data_AgHg2P
_chemical_formula_sum 'Ag2 Hg4 P2'
_symmetry_space_group_name_H-M 'P 1'
_symmetry_Int_Tables_number 1
_symmetry_space_group_name_Hall 'P 1'
_cell_length_a 4.362
_cell_length_b 4.362
_cell_length_c 8.508
_cell_angle_alpha 90.00
_cell_angle_beta 90.00
_cell_angle_gamma 90.00
loop_
_atom_site_label
_atom_site_fract_x
_atom_site_fract_y
_atom_site_fract_z
_atom_site_occupancy
Ag1 0.000 0.000 0.000 1
Ag2 0.500 0.500 0.500 1
Hg1 0.000 0.500 0.250 1
Hg2 0.000 0.500 0.750 1
Hg3 0.500 0.000 0.250 1
Hg4 0.500 0.000 0.750 1
P1 0.000 0.000 0.500 1
P2 0.500 0.500 0.000 1
```

Record 3
VASP calculation (PBE-GGA) on crystalline CsPrAgO2 at its relaxed geometry.

Results
**Magnetization**: 0.00 μB per formula unit
**Space-group type**: P2/c (13)
**E_form (uncorrected)**: -1530.9 meV per atom

Structure (CIF):
```
data_CsPrAgO2
_chemical_formula_sum 'Cs2 Pr2 Ag2 O4'
_symmetry_space_group_name_H-M 'P 1'
_symmetry_Int_Tables_number 1
_symmetry_space_group_name_Hall 'P 1'
_cell_length_a 7.115
_cell_length_b 5.596
_cell_length_c 7.004
_cell_angle_alpha 90.00
_cell_angle_beta 94.04
_cell_angle_gamma 90.00
loop_
_atom_site_label
_atom_site_fract_x
_atom_site_fract_y
_atom_site_fract_z
_atom_site_occupancy
Cs1 0.000 0.222 0.250 1
Cs2 0.000 0.778 0.750 1
Pr1 0.500 0.488 0.750 1
Pr2 0.500 0.512 0.250 1
Ag1 0.500 0.000 0.000 1
Ag2 0.500 0.000 0.500 1
O1 0.312 0.363 0.992 1
O2 0.312 0.637 0.492 1
O3 0.688 0.363 0.508 1
O4 0.688 0.637 0.008 1
```

Record 4
VASP calculation (PBE-GGA) on crystalline Pr4Y2ErMg at its relaxed geometry.

Results
**Magnetization**: 0.00 μB per formula unit
**Space-group type**: P4/mmm (123)
**DFT formation energy**: 0.01 eV per atom

Structure (CIF):
```
data_Pr4Y2ErMg
_chemical_formula_sum 'Pr4 Y2 Er1 Mg1'
_symmetry_space_group_name_H-M 'P 1'
_symmetry_Int_Tables_number 1
_symmetry_space_group_name_Hall 'P 1'
_cell_length_a 5.113
_cell_length_b 5.113
_cell_length_c 10.057
_cell_angle_alpha 90.00
_cell_angle_beta 90.00
_cell_angle_gamma 90.00
loop_
_atom_site_label
_atom_site_fract_x
_atom_site_fract_y
_atom_site_fract_z
_atom_site_occupancy
Pr1 0.000 0.500 0.246 1
Pr2 0.000 0.500 0.754 1
Pr3 0.500 0.000 0.246 1
Pr4 0.500 0.000 0.754 1
Y1 0.000 0.000 0.000 1
Y2 0.500 0.500 0.500 1
Er1 0.000 0.000 0.500 1
Mg1 0.500 0.500 0.000 1
```

Record 5
VASP calculation (PBE-GGA) on crystalline Pa2CrGa2Si4 at its relaxed geometry.

Results
**Magnetization**: 0.00 μB per formula unit
**Space-group type**: I4/mmm (139)
**E_form (uncorrected)**: -383.9 meV per atom

Structure (CIF):
```
data_Pa2CrGa2Si4
_chemical_formula_sum 'Pa2 Cr1 Ga2 Si4'
_symmetry_space_group_name_H-M 'P 1'
_symmetry_Int_Tables_number 1
_symmetry_space_group_name_Hall 'P 1'
_cell_length_a 5.997
_cell_length_b 5.997
_cell_length_c 5.997
_cell_angle_alpha 119.86
_cell_angle_beta 119.86
_cell_angle_gamma 90.24
loop_
_atom_site_label
_atom_site_fract_x
_atom_site_fract_y
_atom_site_fract_z
_atom_site_occupancy
Pa1 0.250 0.750 0.500 1
Pa2 0.750 0.250 0.500 1
Cr1 0.000 0.000 0.000 1
Ga1 0.287 0.287 0.000 1
Ga2 0.713 0.713 0.000 1
Si1 0.278 0.278 0.556 1
Si2 0.278 0.722 0.000 1
Si3 0.722 0.278 0.000 1
Si4 0.722 0.722 0.444 1
```

Record 6
VASP calculation (PBE-GGA) on crystalline KZrInI6 at its relaxed geometry.

Results
**Magnetization**: 0.00 μB per formula unit
**Space-group type**: P-31c (163)
**E_form (uncorrected)**: -938.4 meV per atom

Structure (CIF):
```
data_KZrInI6
_chemical_formula_sum 'K2 Zr2 In2 I12'
_symmetry_space_group_name_H-M 'P 1'
_symmetry_Int_Tables_number 1
_symmetry_space_group_name_Hall 'P 1'
_cell_length_a 8.292
_cell_length_b 8.292
_cell_length_c 14.507
_cell_angle_alpha 90.00
_cell_angle_beta 90.00
_cell_angle_gamma 120.00
loop_
_atom_site_label
_atom_site_fract_x
_atom_site_fract_y
_atom_site_fract_z
_atom_site_occupancy
K1 0.000 0.000 0.000 1
K2 0.000 0.000 0.500 1
Zr1 0.333 0.667 0.250 1
Zr2 0.667 0.333 0.750 1
In1 0.333 0.667 0.750 1
In2 0.667 0.333 0.250 1
I1 0.046 0.386 0.135 1
I2 0.046 0.660 0.365 1
I3 0.340 0.386 0.365 1
I4 0.340 0.954 0.135 1
I5 0.386 0.046 0.635 1
I6 0.386 0.340 0.865 1
I7 0.614 0.660 0.135 1
I8 0.614 0.954 0.365 1
I9 0.660 0.046 0.865 1
I10 0.660 0.614 0.635 1
I11 0.954 0.340 0.635 1
I12 0.954 0.614 0.865 1
```

Record 7
VASP calculation (PBE-GGA) on crystalline K2AgSeO4 at its relaxed geometry.

Results
**Magnetization**: 0.00 μB per formula unit
**Space-group type**: I-4 (82)
**E_form (uncorrected)**: -936.5 meV per atom

Structure (CIF):
```
data_K2AgSeO4
_chemical_formula_sum 'K4 Ag2 Se2 O8'
_symmetry_space_group_name_H-M 'P 1'
_symmetry_Int_Tables_number 1
_symmetry_space_group_name_Hall 'P 1'
_cell_length_a 6.414
_cell_length_b 6.414
_cell_length_c 7.296
_cell_angle_alpha 90.00
_cell_angle_beta 90.00
_cell_angle_gamma 90.00
loop_
_atom_site_label
_atom_site_fract_x
_atom_site_fract_y
_atom_site_fract_z
_atom_site_occupancy
K1 0.000 0.000 0.000 1
K2 0.000 0.500 0.250 1
K3 0.500 0.000 0.750 1
K4 0.500 0.500 0.500 1
Ag1 0.000 0.500 0.750 1
Ag2 0.500 0.000 0.250 1
Se1 0.000 0.000 0.500 1
Se2 0.500 0.500 0.000 1
O1 0.139 0.182 0.640 1
O2 0.182 0.861 0.360 1
O3 0.318 0.639 0.860 1
O4 0.361 0.318 0.140 1
O5 0.639 0.682 0.140 1
O6 0.682 0.361 0.860 1
O7 0.818 0.139 0.360 1
O8 0.861 0.818 0.640 1
```

Record 8
VASP calculation (PBE-GGA) on crystalline AlTcPt3 at its relaxed geometry.

Results
**ΔE to the lowest computed polymorph**: 398 meV per atom
**Magnetization**: 0.00 μB per formula unit
**Space-group type**: Pm-3m (221)
**DFT formation energy**: 1.09 eV per atom

Structure (CIF):
```
data_AlTcPt3
_chemical_formula_sum 'Al1 Tc1 Pt3'
_symmetry_space_group_name_H-M 'P 1'
_symmetry_Int_Tables_number 1
_symmetry_space_group_name_Hall 'P 1'
_cell_length_a 4.805
_cell_length_b 4.805
_cell_length_c 4.805
_cell_angle_alpha 90.00
_cell_angle_beta 90.00
_cell_angle_gamma 90.00
loop_
_atom_site_label
_atom_site_fract_x
_atom_site_fract_y
_atom_site_fract_z
_atom_site_occupancy
Al1 0.000 0.000 0.000 1
Tc1 0.500 0.500 0.500 1
Pt1 0.000 0.500 0.500 1
Pt2 0.500 0.000 0.500 1
Pt3 0.500 0.500 0.000 1
```

Record 9
VASP calculation (PBE-GGA) on crystalline PrY2Ru at its relaxed geometry.

Results
**ΔE to the lowest computed polymorph**: 0 meV per atom
**Magnetization**: 0.00 μB per formula unit
**Space-group type**: Pnma (62)
**DFT formation energy**: -0.26 eV per atom

Structure (CIF):
```
data_PrY2Ru
_chemical_formula_sum 'Pr4 Y8 Ru4'
_symmetry_space_group_name_H-M 'P 1'
_symmetry_Int_Tables_number 1
_symmetry_space_group_name_Hall 'P 1'
_cell_length_a 7.374
_cell_length_b 9.361
_cell_length_c 6.479
_cell_angle_alpha 90.00
_cell_angle_beta 90.00
_cell_angle_gamma 90.00
loop_
_atom_site_label
_atom_site_fract_x
_atom_site_fract_y
_atom_site_fract_z
_atom_site_occupancy
Pr1 0.042 0.250 0.134 1
Pr2 0.458 0.750 0.634 1
Pr3 0.542 0.250 0.366 1
Pr4 0.958 0.750 0.866 1
Y1 0.176 0.067 0.668 1
Y2 0.176 0.433 0.668 1
Y3 0.324 0.567 0.168 1
Y4 0.324 0.933 0.168 1
Y5 0.676 0.067 0.832 1
Y6 0.676 0.433 0.832 1
Y7 0.824 0.567 0.332 1
Y8 0.824 0.933 0.332 1
Ru1 0.115 0.750 0.453 1
Ru2 0.385 0.250 0.953 1
Ru3 0.615 0.750 0.047 1
Ru4 0.885 0.250 0.547 1
```

Record 10
VASP calculation (PBE-GGA) on crystalline FeReRh2 at its relaxed geometry.

Results
**ΔE to the lowest computed polymorph**: 51 meV per atom
**Magnetization**: 2.85 μB per formula unit
**Space-group type**: Cmmm (65)
**DFT formation energy**: -0.03 eV per atom

Structure (CIF):
```
data_FeReRh2
_chemical_formula_sum 'Fe2 Re2 Rh4'
_symmetry_space_group_name_H-M 'P 1'
_symmetry_Int_Tables_number 1
_symmetry_space_group_name_Hall 'P 1'
_cell_length_a 5.408
_cell_length_b 7.593
_cell_length_c 2.706
_cell_angle_alpha 90.00
_cell_angle_beta 90.00
_cell_angle_gamma 90.00
loop_
_atom_site_label
_atom_site_fract_x
_atom_site_fract_y
_atom_site_fract_z
_atom_site_occupancy
Fe1 0.000 0.000 0.000 1
Fe2 0.500 0.500 0.000 1
Re1 0.000 0.500 0.000 1
Re2 0.500 0.000 0.000 1
Rh1 0.250 0.250 0.500 1
Rh2 0.250 0.750 0.500 1
Rh3 0.750 0.250 0.500 1
Rh4 0.750 0.750 0.500 1
```

Record 11
VASP calculation (PBE-GGA) on crystalline HfCuP3 at its relaxed geometry.

Results
**ΔE to the lowest computed polymorph**: 197 meV per atom
**Magnetization**: 0.00 μB per formula unit
**Space-group type**: Pm-3m (221)
**DFT formation energy**: 0.68 eV per atom

Structure (CIF):
```
data_HfCuP3
_chemical_formula_sum 'Hf1 Cu1 P3'
_symmetry_space_group_name_H-M 'P 1'
_symmetry_Int_Tables_number 1
_symmetry_space_group_name_Hall 'P 1'
_cell_length_a 4.941
_cell_length_b 4.941
_cell_length_c 4.941
_cell_angle_alpha 90.00
_cell_angle_beta 90.00
_cell_angle_gamma 90.00
loop_
_atom_site_label
_atom_site_fract_x
_atom_site_fract_y
_atom_site_fract_z
_atom_site_occupancy
Hf1 0.000 0.000 0.000 1
Cu1 0.500 0.500 0.500 1
P1 0.000 0.000 0.500 1
P2 0.000 0.500 0.000 1
P3 0.500 0.000 0.000 1
```

Record 12
VASP calculation (PBE-GGA) on crystalline PaPt3 at its relaxed geometry.

Results
**ΔE to the lowest computed polymorph**: 73 meV per atom
**Magnetization**: 0.00 μB per formula unit
**Space-group type**: I4/mmm (139)
**DFT formation energy**: -0.98 eV per atom

Structure (CIF):
```
data_PaPt3
_chemical_formula_sum 'Pa2 Pt6'
_symmetry_space_group_name_H-M 'P 1'
_symmetry_Int_Tables_number 1
_symmetry_space_group_name_Hall 'P 1'
_cell_length_a 4.117
_cell_length_b 4.117
_cell_length_c 8.636
_cell_angle_alpha 90.00
_cell_angle_beta 90.00
_cell_angle_gamma 90.00
loop_
_atom_site_label
_atom_site_fract_x
_atom_site_fract_y
_atom_site_fract_z
_atom_site_occupancy
Pa1 0.000 0.000 0.000 1
Pa2 0.500 0.500 0.500 1
Pt1 0.000 0.000 0.500 1
Pt2 0.000 0.500 0.250 1
Pt3 0.000 0.500 0.750 1
Pt4 0.500 0.000 0.250 1
Pt5 0.500 0.000 0.750 1
Pt6 0.500 0.500 0.000 1
```

Number 1: uncorrected energy -5.762 eV per atom, V 63.7 Å³/cell. Number 2: uncorrected energy -1.820 eV per atom, V 161.9 Å³/cell. Number 3: uncorrected energy -5.211 eV per atom, V 278.2 Å³/cell. Number 4: uncorrected energy -4.769 eV per atom, V 262.9 Å³/cell. Number 5: uncorrected energy -6.646 eV per atom, V 152.8 Å³/cell. Number 6: uncorrected energy -3.348 eV per atom, V 863.8 Å³/cell. Number 7: uncorrected energy -4.482 eV per atom, V 300.1 Å³/cell. Number 8: uncorrected energy -5.354 eV per atom, V 110.9 Å³/cell. Number 9: uncorrected energy -7.001 eV per atom, V 447.2 Å³/cell. Number 10: uncorrected energy -8.935 eV per atom, V 111.1 Å³/cell. Number 11: uncorrected energy -5.379 eV per atom, V 120.6 Å³/cell. Number 12: uncorrected energy -7.881 eV per atom, V 146.4 Å³/cell.